Li2Fe3F8: relaxed, PBE+U.

Computed properties:
V in Å³ per cell: 149.7
Total magnetic moment in μB per cell: 8.0
Energy above the most stable polymorph in this dataset in meV per atom: 136
Final energy in eV per cell: -67.5

Structure (CIF):
```
data_Li2Fe3F8
_chemical_formula_sum 'Li2 Fe3 F8'
_symmetry_space_group_name_H-M 'P -1'
_symmetry_Int_Tables_number 2
_symmetry_space_group_name_Hall '-P 1'
_cell_length_a 5.303
_cell_length_b 5.721
_cell_length_c 5.871
_cell_angle_alpha 72.78
_cell_angle_beta 89.54
_cell_angle_gamma 62.89
loop_
_atom_site_label
_atom_site_type_symbol
_atom_site_fract_x
_atom_site_fract_y
_atom_site_fract_z
Li1 Li 0.051 0.418 0.254
Fe1 Fe 0.261 0.973 0.857
Fe2 Fe 0.500 0.500 0.500
F1 F 0.008 0.765 0.959
F2 F 0.059 0.721 0.438
F3 F 0.439 0.254 0.813
F4 F 0.464 0.266 0.312
```